The following is a DFT calculation (GGA-PBE) of a relaxed La2ScAl3Pt4 crystal.

Properties
The calculation puts the formation energy at -1116 meV per atom. As for the crystal system: tetragonal. Its density of states at the Fermi level is 6.78 states/eV per cell.

Cell lengths 4.364, 4.364, 10.741 Å; angles 90.00, 90.00, 90.00 degrees
Sites, in units of the cell vectors:
La 0.000 0.500 0.238
La 0.500 0.000 0.762
Sc 0.000 0.000 0.500
Al 0.000 0.500 0.880
Al 0.500 0.000 0.120
Al 0.500 0.500 0.500
Pt 0.000 0.000 0.000
Pt 0.000 0.500 0.645
Pt 0.500 0.000 0.355
Pt 0.500 0.500 0.000